VASP calculation (PBE) on a relaxed structure of Pm4AlGe.

It has space group I4/mcm (No. 140), with a = 7.3256 Å, b = 7.3256 Å, c = 12.9590 Å, α = 90.00°, β = 90.00° and γ = 90.00°. The distinct sites, in fractional coordinates, are Pm at (0.1681, 0.3319, 0.1343), Al at (0.0000, 0.0000, 0.0000) and Ge at (0.0000, 0.0000, 0.2500).

The calculation puts the energy above the lowest structure with this stoichiometry at 96 meV per atom.

---

VASP calculation (PBE) on a relaxed structure of Pm2Al3Ge2.

It has space group C2/m (No. 12), with a = 10.5460 Å, b = 4.1549 Å, c = 6.8710 Å, α = 90.00°, β = 101.13° and γ = 90.00°. The distinct sites, in fractional coordinates, are Pm at (0.1174, 0.0000, 0.3167), Al at (0.0000, 0.5000, 0.0000), Al at (0.1968, 0.0000, 0.8750) and Ge at (0.0981, 0.5000, 0.6441).

---

VASP calculation (PBE) on a relaxed structure of Pm4Al5Ge2.

It has space group P2/m (No. 10), with a = 6.9933 Å, b = 4.5282 Å, c = 8.1941 Å, α = 90.00°, β = 93.19° and γ = 90.00°. The distinct sites, in fractional coordinates, are Pm at (0.2189, 0.0000, 0.3673), Pm at (0.2419, 0.0000, 0.9022), Al at (0.1404, 0.5000, 0.6261), Al at (0.4568, 0.5000, 0.1642), Al at (0.5000, 0.5000, 0.5000) and Ge at (0.0847, 0.5000, 0.1369).

---

VASP calculation (PBE) on a relaxed structure of Pm2AlGe.

It has space group P4/mmm (No. 123), with a = 4.8738 Å, b = 4.8738 Å, c = 4.1618 Å, α = 90.00°, β = 90.00° and γ = 90.00°. The distinct sites, in fractional coordinates, are Pm at (0.0000, 0.5000, 0.0000), Al at (0.0000, 0.0000, 0.5000) and Ge at (0.5000, 0.5000, 0.5000).

---

VASP calculation (PBE) on a relaxed structure of Pm12AlGe6.

It has space group Im-3 (No. 204), with a = 10.2729 Å, b = 10.2729 Å, c = 10.2729 Å, α = 90.00°, β = 90.00° and γ = 90.00°. The distinct sites, in fractional coordinates, are Pm at (0.0000, 0.2929, 0.1868), Al at (0.0000, 0.0000, 0.0000) and Ge at (0.0000, 0.1208, 0.5000).

---

VASP calculation (PBE) on a relaxed structure of Pm3Al2Ge4.

It has space group C2/m (No. 12), with a = 11.2303 Å, b = 4.2874 Å, c = 8.6081 Å, α = 90.00°, β = 104.46° and γ = 90.00°. The distinct sites, in fractional coordinates, are Pm at (0.0000, 0.0000, 0.0000), Pm at (0.1613, 0.5000, 0.6705), Al at (0.1168, 0.5000, 0.2802), Ge at (0.0625, 0.0000, 0.3883) and Ge at (0.2158, 0.5000, 0.0530).

The calculation puts the energy above the lowest structure with this stoichiometry at 11 meV per atom.

---

VASP calculation (PBE) on a relaxed structure of Pm8AlGe2.

It has space group C2/m (No. 12), with a = 19.1647 Å, b = 5.0470 Å, c = 6.8538 Å, α = 90.00°, β = 103.09° and γ = 90.00°. The distinct sites, in fractional coordinates, are Pm at (0.0237, 0.0000, 0.2726), Pm at (0.0917, 0.5000, 0.9756), Pm at (0.1627, 0.5000, 0.4945), Pm at (0.2098, 0.0000, 0.8321), Al at (0.0000, 0.5000, 0.5000) and Ge at (0.1827, 0.0000, 0.2578).

---

VASP calculation (PBE) on a relaxed structure of PmAl3Ge3.

It has space group Pm-3n (No. 223), with a = 6.9898 Å, b = 6.9898 Å, c = 6.9898 Å, α = 90.00°, β = 90.00° and γ = 90.00°. The distinct sites, in fractional coordinates, are Pm at (0.0000, 0.0000, 0.0000), Al at (0.0000, 0.2500, 0.5000) and Ge at (0.0000, 0.5000, 0.2500).

The calculation puts the energy above the lowest structure with this stoichiometry at 393 meV per atom.

---

| no. | VASP energy (eV per atom) | E_form (meV/atom) |
| --- | --- | --- |
| 1 | -4.865 | -305 |
| 2 | -4.828 | -548 |
| 3 | -4.784 | -516 |
| 4 | -4.952 | -487 |
| 5 | -5.209 | -553 |
| 6 | -5.080 | -613 |
| 7 | -4.961 | -326 |
| 8 | -4.158 | 104 |